Entry 1:
This record from Alexandria describes a relaxed Ni2AgSe crystal. The functional is PBE.

The energy relative to the lowest polymorph listed for this composition is 265 meV/atom.

The structure belongs to space group F-43m (No. 216); the cell edges are 6.168, 6.168 and 6.168 Å and the angles 90.00°, 90.00° and 90.00°. The distinct sites, in fractional coordinates, are Ni at (0.000, 0.000, 0.000), Ni at (0.250, 0.250, 0.250), Ag at (0.250, 0.250, 0.750) and Se at (0.000, 0.000, 0.500).


Entry 2:
This record from Alexandria describes a relaxed NiAgSe3 crystal. The functional is PBE.

The energy relative to the lowest polymorph listed for this composition is 55 meV/atom.

The structure belongs to space group P2_1 (No. 4); the cell edges are 6.674, 5.167 and 7.035 Å and the angles 90.00°, 118.26° and 90.00°. The distinct sites, in fractional coordinates, are Ni at (0.017, 0.000, 0.035), Ag at (0.338, 0.997, 0.676), Se at (0.050, 0.300, 0.316), Se at (0.266, 0.699, 0.315) and Se at (0.305, 0.250, 0.999).


Entry 3:
This record from Alexandria describes a relaxed Ni4AgSe crystal. The functional is PBE.

The structure belongs to space group F-43m (No. 216); the cell edges are 6.872, 6.872 and 6.872 Å and the angles 90.00°, 90.00° and 90.00°. The distinct sites, in fractional coordinates, are Ni at (0.125, 0.125, 0.125), Ag at (0.000, 0.000, 0.500) and Se at (0.250, 0.250, 0.750).


Entry 4:
This record from Alexandria describes a relaxed Ni2AgSe3 crystal. The functional is PBE.

The structure belongs to space group P-3m1 (No. 164); the cell edges are 7.1156, 7.1156 and 5.1534 Å and the angles 90.00°, 90.00° and 120.00°. The distinct sites, in fractional coordinates, are Ni at (0.0000, 0.0000, 0.0000), Ni at (0.0000, 0.5000, 0.0000), Ag at (0.3333, 0.6667, 0.3520) and Se at (0.1742, 0.3485, 0.7749).


Entry 5:
This record from Alexandria describes a relaxed NiAg2Se crystal. The functional is PBE.

The structure belongs to space group Pmmm (No. 47); the cell edges are 2.917, 4.131 and 5.639 Å and the angles 90.00°, 90.00° and 90.00°. The distinct sites, in fractional coordinates, are Ni at (0.000, 0.000, 0.000), Ag at (0.500, 0.500, 0.236) and Se at (0.000, 0.000, 0.500).


Entry 6:
This record from Alexandria describes a relaxed Ni2AgSe crystal. The functional is PBE.

The energy relative to the lowest polymorph listed for this composition is 55 meV/atom.

The structure belongs to space group Pmmm (No. 47); the cell edges are 2.982, 3.809 and 5.306 Å and the angles 90.00°, 90.00° and 90.00°. The distinct sites, in fractional coordinates, are Ni at (0.000, 0.000, 0.247), Ag at (0.500, 0.500, 0.000) and Se at (0.000, 0.500, 0.500).


Entry 7:
This record from Alexandria describes a relaxed Ni2AgSe crystal. The functional is PBE.

The energy relative to the lowest polymorph listed for this composition is 59 meV/atom.

The structure belongs to space group R-3m (No. 166, hexagonal axes); the cell edges are 3.1047, 3.1047 and 21.6958 Å and the angles 90.00°, 90.00° and 120.00°. The distinct sites, in fractional coordinates, are Ni at (0.0000, 0.0000, 0.2401), Ag at (0.0000, 0.0000, 0.0000) and Se at (0.0000, 0.0000, 0.5000).


Entry 8:
This record from Alexandria describes a relaxed Ni4AgSe8 crystal. The functional is PBE.

The structure belongs to space group F-43m (No. 216); the cell edges are 10.281, 10.281 and 10.281 Å and the angles 90.00°, 90.00° and 90.00°. The distinct sites, in fractional coordinates, are Ni at (0.122, 0.122, 0.122), Ag at (0.000, 0.000, 0.500), Se at (0.111, 0.111, 0.889) and Se at (0.143, 0.143, 0.357).


Entry 9:
This record from Alexandria describes a relaxed Ni2AgSe crystal. The functional is PBE.

The energy relative to the lowest polymorph listed for this composition is 47 meV/atom.

The structure belongs to space group Pm (No. 6); the cell edges are 3.032, 4.074 and 4.855 Å and the angles 90.00°, 90.64° and 90.00°. The distinct sites, in fractional coordinates, are Ni at (0.000, 0.000, 0.000), Ni at (0.012, 0.500, 0.677), Ag at (0.506, 0.000, 0.491) and Se at (0.517, 0.500, 0.044).


Entry 10:
This record from Alexandria describes a relaxed Ni2AgSe crystal. The functional is PBE.

The energy relative to the lowest polymorph listed for this composition is 67 meV/atom.

The structure belongs to space group C2/m (No. 12); the cell edges are 6.961, 3.184 and 5.721 Å and the angles 90.00°, 103.89° and 90.00°. The distinct sites, in fractional coordinates, are Ni at (0.240, 0.000, 0.199), Ag at (0.000, 0.000, 0.500) and Se at (0.000, 0.500, 0.000).


Entry 11:
This record from Alexandria describes a relaxed NiAg2Se2 crystal. The functional is PBE.

The structure belongs to space group P4/mbm (No. 127); the cell edges are 6.478, 6.478 and 4.544 Å and the angles 90.00°, 90.00° and 90.00°. The distinct sites, in fractional coordinates, are Ni at (0.000, 0.000, 0.000), Ag at (0.166, 0.334, 0.500) and Se at (0.170, 0.670, 0.000).


Entry 12:
This record from Alexandria describes a relaxed Ni2AgSe crystal. The functional is PBE.

The energy relative to the lowest polymorph listed for this composition is 112 meV/atom.

The structure belongs to space group Immm (No. 71); the cell edges are 3.891, 4.545 and 6.607 Å and the angles 90.00°, 90.00° and 90.00°. The distinct sites, in fractional coordinates, are Ni at (0.000, 0.000, 0.214), Ag at (0.000, 0.500, 0.000) and Se at (0.000, 0.500, 0.500).


Number 1: raw formation energy 1.51 eV per formula unit. Number 2: raw formation energy -0.44 eV per formula unit. Number 3: raw formation energy 1.69 eV per formula unit. Number 4: raw formation energy -1.29 eV per formula unit. Number 5: raw formation energy 1.08 eV per formula unit. Number 6: raw formation energy 0.66 eV per formula unit. Number 7: raw formation energy 0.68 eV per formula unit. Number 8: raw formation energy -2.76 eV per formula unit. Number 9: raw formation energy 0.63 eV per formula unit. Number 10: raw formation energy 0.71 eV per formula unit. Number 11: raw formation energy 0.34 eV per formula unit. Number 12: raw formation energy 0.89 eV per formula unit.